Run w
9
Lattice="4.285 -2.058 0.000 4.285 2.058 0.000 -1.794 0.000 8.180" Properties=species:S:1:pos:R:3 comment="Li2Al3Au4 GGA-PBE relaxed" space_group="C2/m (12)" pbc="T T T"
Li 1.194 0.000 1.768
Li 5.581 0.000 6.412
Al 0.297 0.000 4.660
Al 4.285 0.000 0.000
Al 6.478 0.000 3.519
Au -0.316 0.000 7.271
Au 2.752 0.000 5.413
Au 4.022 0.000 2.766
Au 7.091 0.000 0.909



Run x
18
Lattice="2.917 -7.666 0.000 2.917 7.666 0.000 0.000 0.000 7.269" Properties=species:S:1:pos:R:3 comment="Li2Al3Au4 GGA-PBE relaxed" space_group="Cmce (64)" pbc="T T T"
Li 2.917 6.250 6.525
Li 2.917 1.415 2.890
Li 2.917 -1.415 4.378
Li 2.917 -6.250 0.744
Al 0.000 0.000 3.634
Al 1.459 3.663 5.451
Al 1.459 -3.663 1.817
Al 2.917 0.000 0.000
Al 4.376 3.663 5.451
Al 4.376 -3.663 1.817
Au 2.917 5.006 3.858
Au 1.459 1.006 5.451
Au 1.459 -1.006 1.817
Au 2.917 2.660 0.223
Au 2.917 -2.660 7.045
Au 4.376 1.006 5.451
Au 4.376 -1.006 1.817
Au 2.917 -5.006 3.411



Energies relative to the most stable structure are run w 0; run x 8, reported in meV per atom.



Run w
5
Lattice="4.891 0.000 0.000 0.000 4.891 0.000 0.000 0.000 4.891" Properties=species:S:1:pos:R:3 comment="LiAlAu3 GGA-PBE relaxed" space_group="Pm-3m (221)" pbc="T T T"
Li 0.000 0.000 0.000
Al 2.446 2.446 2.446
Au 0.000 2.446 2.446
Au 2.446 0.000 2.446
Au 2.446 2.446 0.000



Run x
10
Lattice="4.622 0.000 0.000 0.011 4.645 0.000 2.287 0.000 7.528" Properties=species:S:1:pos:R:3 comment="LiAlAu3 GGA-PBE relaxed" space_group="P-1 (2)" pbc="T T T"
Li 1.160 1.161 1.531
Li 5.760 3.485 5.997
Al 3.452 1.162 6.013
Al 3.468 3.484 1.515
Au 1.152 3.483 2.852
Au 3.448 3.484 7.516
Au 3.453 3.484 4.662
Au 3.467 1.162 2.866
Au 3.472 1.162 0.012
Au 5.768 1.163 4.675



Energies relative to the most stable structure are run w 421; run x 0, reported in meV per atom.



Run w
11
Lattice="-2.048 6.733 3.433 2.048 -6.733 3.433 2.048 6.733 -3.433" Properties=species:S:1:pos:R:3 comment="Li2Al2Au7 GGA-PBE relaxed" space_group="Imm2 (44)" pbc="T T T"
Li 0.000 0.000 0.000
Li 0.000 6.733 1.244
Al 0.000 2.812 1.286
Al 0.000 10.654 1.286
Au 2.048 1.942 -0.145
Au 2.048 -1.991 2.742
Au 0.000 0.000 2.707
Au 2.048 1.991 2.742
Au 2.048 4.733 1.371
Au 0.000 4.791 3.288
Au 0.000 2.000 4.804



Run x
11
Lattice="4.763 -3.954 0.000 4.763 3.954 0.000 -0.813 0.000 5.348" Properties=species:S:1:pos:R:3 comment="Li2Al2Au7 GGA-PBE relaxed" space_group="C2/m (12)" pbc="T T T"
Li 4.763 2.440 0.000
Li 4.763 -2.440 0.000
Al 2.098 0.000 1.822
Al 6.615 0.000 3.525
Au -0.407 0.000 2.674
Au 1.595 1.471 4.058
Au 1.595 -1.471 4.058
Au 4.119 0.000 4.007
Au 4.593 0.000 1.341
Au 7.117 1.471 1.290
Au 7.117 -1.471 1.290



Energies relative to the most stable structure are run w 0; run x 50, reported in meV per atom.



Run w
8
Lattice="4.180 0.000 0.000 0.000 4.180 0.000 0.000 0.000 7.842" Properties=species:S:1:pos:R:3 comment="LiAlAu6 GGA-PBE relaxed" space_group="P4/mmm (123)" pbc="T T T"
Li 0.000 0.000 0.000
Al 0.000 0.000 3.921
Au 0.000 2.090 1.970
Au 0.000 2.090 5.871
Au 2.090 0.000 1.970
Au 2.090 0.000 5.871
Au 2.090 2.090 0.000
Au 2.090 2.090 3.921



Run x
8
Lattice="4.957 0.000 0.000 0.284 5.370 0.000 0.482 1.611 5.452" Properties=species:S:1:pos:R:3 comment="LiAlAu6 GGA-PBE relaxed" space_group="P-1 (2)" pbc="T T T"
Li 0.000 0.000 0.000
Al 2.862 3.490 2.726
Au 0.542 2.142 2.497
Au 1.869 3.885 5.029
Au 2.860 5.745 1.375
Au 2.864 1.235 4.076
Au 3.855 3.096 0.423
Au 5.182 4.839 2.954



Energies relative to the most stable structure are run w 0; run x 24, reported in meV per atom.



Run w
7
Lattice="4.485 2.590 1.768 -4.485 2.590 1.768 0.000 -5.179 1.768" Properties=species:S:1:pos:R:3 comment="LiAl3Au3 GGA-PBE relaxed" space_group="R-3m (166)" pbc="T T T"
Li 0.000 0.000 0.000
Al -2.243 -1.295 1.768
Al -2.243 1.295 3.536
Al 0.000 2.590 1.768
Au -4.485 0.000 2.652
Au -2.243 1.295 0.884
Au 2.243 1.295 0.884



Run x
14
Lattice="7.059 0.000 0.000 0.000 7.059 0.000 0.000 0.000 7.059" Properties=species:S:1:pos:R:3 comment="LiAl3Au3 GGA-PBE relaxed" space_group="Pm-3n (223)" pbc="T T T"
Li 0.000 0.000 0.000
Li 3.529 3.529 3.529
Al 0.000 1.765 3.529
Al 0.000 5.294 3.529
Al 1.765 3.529 0.000
Al 3.529 0.000 1.765
Al 3.529 0.000 5.294
Al 5.294 3.529 0.000
Au 0.000 3.529 1.765
Au 0.000 3.529 5.294
Au 1.765 0.000 3.529
Au 3.529 1.765 0.000
Au 3.529 5.294 0.000
Au 5.294 0.000 3.529



Energies relative to the most stable structure are run w 0; run x 255, reported in meV per atom.



Run w
14
Lattice="4.328 -4.593 0.000 4.328 4.593 0.000 0.000 0.000 6.025" Properties=species:S:1:pos:R:3 comment="Li3AlAu3 GGA-PBE relaxed" space_group="Cmmm (65)" pbc="T T T"
Li 1.883 0.000 3.012
Li 2.022 0.000 0.000
Li 4.328 2.329 0.000
Li 4.328 -2.329 0.000
Li 6.635 0.000 0.000
Li 6.773 0.000 3.012
Al 4.328 2.189 3.012
Al 4.328 -2.189 3.012
Au 2.164 2.297 1.494
Au 2.164 2.297 4.531
Au 2.164 -2.297 1.494
Au 2.164 -2.297 4.531
Au 4.328 0.000 1.487
Au 4.328 0.000 4.538



Run x
14
Lattice="3.523 -4.514 0.000 3.523 4.514 0.000 -0.363 0.000 7.406" Properties=species:S:1:pos:R:3 comment="Li3AlAu3 GGA-PBE relaxed" space_group="C2/m (12)" pbc="T T T"
Li 3.523 3.167 0.000
Li 3.341 2.363 3.703
Li 2.659 0.000 1.090
Li 4.023 0.000 6.316
Li 3.341 -2.363 3.703
Li 3.523 -3.167 0.000
Al 1.992 0.000 4.100
Al 4.690 0.000 3.306
Au 0.228 0.000 2.240
Au 1.660 1.851 5.865
Au 1.660 -1.851 5.865
Au 5.021 1.851 1.541
Au 5.021 -1.851 1.541
Au 6.453 0.000 5.166



Energies relative to the most stable structure are run w 0; run x 74, reported in meV per atom.



Run w
7
Lattice="-2.421 2.421 6.721 2.421 -2.421 6.721 2.421 2.421 -6.721" Properties=species:S:1:pos:R:3 comment="Li2AlAu4 GGA-PBE relaxed" space_group="I4/mmm (139)" pbc="T T T"
Li 0.000 0.000 1.586
Li 0.000 0.000 11.857
Al 0.000 0.000 6.721
Au 2.421 0.000 0.000
Au 0.000 0.000 4.207
Au 0.000 2.421 0.000
Au 0.000 0.000 9.236



Run x
7
Lattice="-2.903 2.903 3.531 2.903 -2.903 3.531 2.903 2.903 -3.531" Properties=species:S:1:pos:R:3 comment="Li2AlAu4 GGA-PBE relaxed" space_group="I4/mmm (139)" pbc="T T T"
Li 2.903 0.000 0.000
Li 0.000 2.903 0.000
Al 0.000 0.000 0.000
Au 1.452 1.452 -1.766
Au 1.452 -1.452 1.766
Au -1.452 1.452 1.766
Au 1.452 1.452 1.766



Energies relative to the most stable structure are run w 391; run x 0, reported in meV per atom.



Run w
9
Lattice="6.611 -3.808 0.000 6.611 3.808 0.000 -0.009 0.000 2.774" Properties=species:S:1:pos:R:3 comment="Li6AlAu2 GGA-PBE relaxed" space_group="C2/m (12)" pbc="T T T"
Li 4.374 1.285 2.773
Li 6.611 2.564 0.000
Li 4.374 -1.285 2.773
Li 8.839 1.285 0.001
Li 6.611 -2.564 0.000
Li 8.839 -1.285 0.001
Al 6.606 0.000 1.387
Au 2.198 0.000 1.388
Au 11.014 0.000 1.386



Run x
9
Lattice="6.374 -1.919 0.000 6.374 1.919 0.000 -2.163 0.000 5.957" Properties=species:S:1:pos:R:3 comment="Li6AlAu2 GGA-PBE relaxed" space_group="C2/m (12)" pbc="T T T"
Li 0.927 0.000 0.893
Li 0.982 0.000 5.003
Li 3.278 0.000 3.008
Li 7.306 0.000 2.949
Li 9.602 0.000 0.954
Li 9.657 0.000 5.064
Al -1.082 0.000 2.979
Au 5.205 0.000 1.050
Au 5.379 0.000 4.907



Energies relative to the most stable structure are run w 8; run x 0, reported in meV per atom.